Entry from Alexandria via LeMat-Bulk: a relaxed structure of MgNi2Pt (PBE).

The structure in POSCAR format:
```
MgNi2Pt
1.0
1.373 0.793 8.393
-1.373 0.793 8.393
0.000 -1.586 8.393
Mg Ni Pt
1 2 1
direct
0.000 0.000 0.000
0.250 0.250 0.250
0.508 0.508 0.508
0.755 0.755 0.755
```

Output
As for the size of the total moment: 0.8 μB/f.u. Its crystal system is trigonal. For the energy relative to the elements, the calculation gives -0.084 eV per atom. The calculated total energy comes out at -4.88 eV/atom.